# PuVPd6

PuVPd6 after structural relaxation (PBE-GGA, Alexandria via LeMat-Bulk).

Values from the calculation:
DOS at the Fermi energy: 20.79 states/eV/f.u.
Electronic total energy: -7.1972 eV/atom
ΔE_f: -0.37 eV per atom

Cell lengths 4.033, 4.033, 8.041 Å; angles 90.00, 90.00, 90.00 degrees
Space group P4/mmm (No. 123)
Symmetry-distinct sites (fractional):
Pu1 0.000 0.000 0.000 [1 per cell]
V1 0.000 0.000 0.500 [1 per cell]
Pd1 0.000 0.500 0.269 [4 per cell]
Pd2 0.500 0.500 0.000 [1 per cell]
Pd3 0.500 0.500 0.500 [1 per cell]